This record from Alexandria via LeMat-Bulk describes NaSbTe2H after structural relaxation. The functional is PBE. Values from VASP.

Quantum ESPRESSO input file:
```
&SYSTEM
  ibrav = 0, nat = 5, ntyp = 4
/
ATOMIC_SPECIES
Te 127.60 Te.upf
H 1.01 H.upf
Sb 121.76 Sb.upf
Na 22.99 Na.upf
ATOMIC_POSITIONS crystal
Te 0.000 0.500 0.000
H 0.500 0.500 0.500
Sb 0.000 0.000 0.500
Te 0.500 0.000 0.000
Na 0.000 0.000 0.000
CELL_PARAMETERS angstrom
-5.258 -0.801 1.621
-0.095 -4.855 -2.709
1.778 -2.551 4.508
```

Properties
- SG = P4/mmm, No. 123
- theoretical density (Mg/m³) = 3.932
- calculated total energy (eV/cell) = -10.05
- relative energy among the computed polymorphs (meV/atom) = 911.4